Material: PmB2Ir2
Method: DFT, PBE-GGA
State: optimized geometry

The structure in POSCAR format:
```
PmB2Ir2
1.0
5.342 -0.183 -1.618
-2.709 4.608 -1.618
0.133 0.223 6.120
Pm B Ir
2 4 4
direct
0.875 0.625 0.750
0.125 0.375 0.250
0.195 0.305 0.750
0.444 0.056 0.250
0.556 0.944 0.750
0.805 0.695 0.250
0.245 0.995 0.490
0.495 0.745 0.990
0.755 0.005 0.510
0.505 0.255 0.010
```

Summary:
ρ: 12.08 g/cm³
DFT formation energy: -3.6 eV per formula unit
final energy: -7.90 eV/atom
energy relative to the lowest polymorph listed for this composition: 0 meV per atom
Fermi-level density of states: 0.41 states/eV per atom